No. 1
Entry from Alexandria via LeMat-Bulk: an optimized crystal structure of SrMnSb2O8 (PBE+U).

Properties
Its total moment is 2.96 Bohr magnetons per cell. For the final energy, the calculation gives -6.210 eV per atom.

abc: 5.2400 5.2400 7.4083
angles: 90.00 90.00 120.00
Space group P-3 (No. 147)
Unique sites:
1 Sr 0.0000 0.0000 0.0000 x1
2 Mn 0.0000 0.0000 0.5000 x1
3 Sb 0.3333 0.6667 0.2840 x2
4 O 0.0018 0.2907 0.6573 x6
5 O 0.3333 0.6667 0.0311 x2



No. 2
Entry from Alexandria via LeMat-Bulk: an optimized crystal structure of PrTl2Co3F12 (PBE+U).

Properties
Its total moment is 30.00 Bohr magnetons per cell. For the final energy, the calculation gives -5.067 eV per atom.

abc: 7.6733 7.6733 16.2555
angles: 90.00 90.00 120.00
Space group R-3m (No. 166, hexagonal axes)
Unique sites:
1 Pr 0.0000 0.0000 0.0000 x3
2 Tl 0.0000 0.0000 0.3874 x6
3 Co 0.0000 0.5000 0.5000 x9
4 F 0.0242 0.5121 0.3791 x18
5 F 0.0959 0.5479 0.8073 x18



- total moment of number 1 (SrMnSb2O8)?
  2.96 Bohr magnetons per cell



What did the first record say?
Entry from Alexandria via LeMat-Bulk: an optimized crystal structure of SrMnSb2O8 (PBE+U).

Properties
Its total moment is 2.96 Bohr magnetons per cell. For the final energy, the calculation gives -6.210 eV per atom.

abc: 5.2400 5.2400 7.4083
angles: 90.00 90.00 120.00
Space group P-3 (No. 147)
Unique sites:
1 Sr 0.0000 0.0000 0.0000 x1
2 Mn 0.0000 0.0000 0.5000 x1
3 Sb 0.3333 0.6667 0.2840 x2
4 O 0.0018 0.2907 0.6573 x6
5 O 0.3333 0.6667 0.0311 x2